This record from the Alexandria database describes a geometry-optimized Cd2HgS structure. The functional is PBE.

Summary:
The raw total energy comes out at -1.6959 eV/atom. The formation energy without anion corrections is -131 meV per atom. The calculation puts the magnetic moment at 0.0 μB/f.u. The volume comes out at 394.7 Å³ per cell. As for the density of states at the Fermi level: 0.04 states/eV per atom.

a b c (Å): 7.461 7.461 7.091
angles (deg): 90.00 90.00 90.00
Space group I-42d (No. 122)
Asymmetric unit:
Cd 0.215 0.250 0.125
Hg 0.000 0.000 0.500
S 0.000 0.000 0.000